[1]
Below is a relaxed La2RuF2 crystal, with properties calculated at the PBE level.

Values from the calculation:
Energy relative to the elements, uncorrected   -8.5 eV/f.u.

a = 5.355 Å, b = 5.355 Å, c = 5.355 Å
α = 125.70°, β = 125.70°, γ = 80.38°
Positions (direct):
La 0.250 0.750 0.500
La 0.750 0.250 0.500
Ru 0.000 0.000 0.000
F 0.347 0.347 0.000
F 0.653 0.653 0.000



[2]
Below is a relaxed La2RuF crystal, with properties calculated at the PBE level.

Values from the calculation:
Energy relative to the elements, uncorrected   -4.6 eV/f.u.

a = 4.944 Å, b = 4.944 Å, c = 4.944 Å
α = 60.00°, β = 60.00°, γ = 60.00°
Positions (direct):
La 0.250 0.250 0.250
La 0.750 0.750 0.750
Ru 0.000 0.000 0.000
F 0.500 0.500 0.500



[3]
Below is a relaxed La2RuF crystal, with properties calculated at the PBE level.

Values from the calculation:
Energy relative to the elements, uncorrected   -5.7 eV/f.u.

a = 8.135 Å, b = 8.135 Å, c = 8.135 Å
α = 30.23°, β = 30.23°, γ = 30.23°
Positions (direct):
La 0.102 0.102 0.102
La 0.898 0.898 0.898
Ru 0.500 0.500 0.500
F 0.000 0.000 0.000



[4]
Below is a relaxed La2RuF crystal, with properties calculated at the PBE level.

Values from the calculation:
Energy relative to the elements, uncorrected   -5.1 eV/f.u.

a = 7.729 Å, b = 7.729 Å, c = 7.729 Å
α = 136.26°, β = 136.26°, γ = 63.57°
Positions (direct):
La 0.114 0.625 0.989
La 0.375 0.364 0.489
La 0.636 0.125 0.011
La 0.875 0.886 0.511
Ru 0.250 0.750 0.500
Ru 0.500 0.500 0.000
F 0.000 0.000 0.000
F 0.750 0.250 0.500